[1]
# DyErHg2

Crystalline DyErHg2 at its relaxed geometry (PBE-GGA, the Alexandria database).

Computed properties:
Fermi-level density of states ... 3.67 states/eV/f.u.
Energy above the most stable polymorph in this dataset ... 0.00 eV/f.u.
Spin magnetization ... 0.001 Bohr magnetons per cell
Energy relative to the elements ... -0.480 eV/atom
Space group ... P4/mmm, No. 123

Unit cell a=5.218 b=5.218 c=3.741 alpha=90.00 beta=90.00 gamma=90.00
Atoms (fractional coordinates):
Dy (0.000, 0.000, 0.000)
Er (0.500, 0.500, 0.000)
Hg (0.000, 0.500, 0.500)
Hg (0.500, 0.000, 0.500)

---

[2]
# BeRu2Pt

Crystalline BeRu2Pt at its relaxed geometry (PBE-GGA, the Alexandria database).

Computed properties:
Fermi-level density of states ... 4.11 states/eV/f.u.
Spin magnetization ... 0.000 Bohr magnetons per cell
Energy relative to the elements ... 0.001 eV/atom
Space group ... P2/m, No. 10

Unit cell a=2.728 b=3.953 c=5.038 alpha=90.00 beta=102.75 gamma=90.00
Atoms (fractional coordinates):
Be (0.000, 0.000, 0.000)
Ru (0.374, 0.500, 0.225)
Ru (0.626, 0.500, 0.775)
Pt (0.000, 0.000, 0.500)

---

[3]
# LaGe3Ir2

Crystalline LaGe3Ir2 at its relaxed geometry (PBE-GGA, the Alexandria database).

Computed properties:
Fermi-level density of states ... 2.60 states/eV/f.u.
Energy above the most stable polymorph in this dataset ... 0.76 eV/f.u.
Spin magnetization ... 0.000 Bohr magnetons per cell
Energy relative to the elements ... -0.465 eV/atom
Space group ... Cmcm, No. 63

Unit cell a=6.415 b=6.415 c=5.723 alpha=90.00 beta=90.00 gamma=76.19
Atoms (fractional coordinates):
La (0.166, 0.834, 0.750)
La (0.834, 0.166, 0.250)
Ge (0.050, 0.601, 0.250)
Ge (0.399, 0.950, 0.250)
Ge (0.463, 0.537, 0.250)
Ge (0.537, 0.463, 0.750)
Ge (0.601, 0.050, 0.750)
Ge (0.950, 0.399, 0.750)
Ir (0.272, 0.272, 0.000)
Ir (0.272, 0.272, 0.500)
Ir (0.728, 0.728, 0.000)
Ir (0.728, 0.728, 0.500)

---

[4]
# YCu4Te

Crystalline YCu4Te at its relaxed geometry (PBE-GGA, the Alexandria database).

Computed properties:
Fermi-level density of states ... 3.80 states/eV/f.u.
Uncorrected formation energy ... -0.1547 eV/atom
Spin magnetization ... 0.000 Bohr magnetons per cell
Space group ... F-43m, No. 216

Unit cell a=5.231 b=5.231 c=5.231 alpha=60.00 beta=60.00 gamma=60.00
Atoms (fractional coordinates):
Y (0.000, 0.000, 0.000)
Cu (0.124, 0.625, 0.625)
Cu (0.625, 0.124, 0.625)
Cu (0.625, 0.625, 0.124)
Cu (0.625, 0.625, 0.625)
Te (0.250, 0.250, 0.250)